1.
This record from Alexandria describes TbPa5P6 after structural relaxation. The functional is PBE.

Final energy in eV per atom: -8.4176
Energy relative to the elements in eV per formula unit: -16.44
Space-group type: No. 12

```
12
Lattice="-5.9427 -0.5738 -3.4219 -0.6104 -6.3907 -2.4879 -3.0340 -4.8902 3.7791" Properties=species:S:1:pos:R:3 pbc="T T T"
P -1.6374 -1.7515 -1.4805
P -4.9157 -5.2129 -4.4293
P -5.5190 -2.6014 -1.5072
Pa -1.2156 -3.7608 0.4319
Tb 0.0000 0.0000 0.0000
P -6.7264 -6.3571 -1.0905
P -2.8606 -5.4976 -1.0402
Pa -4.4820 -7.2368 -2.5415
P -4.0680 -9.2533 -0.6235
Pa -3.2765 -3.4822 -2.9549
Pa -5.1050 -4.6179 0.4108
Pa -2.4288 -7.5201 0.8594
```

2.
This record from Alexandria describes TlInPbS3 after structural relaxation. The functional is PBE.

Final energy in eV per atom: -3.9936
Space-group type: No. 11
E_form (uncorrected) in eV/atom: -0.461

```
12
Lattice="-1.2731 3.8674 0.8945 -8.0367 -1.5605 -4.6909 -3.7482 -3.2695 8.8009" Properties=species:S:1:pos:R:3 pbc="T T T"
S -4.0792 1.0707 4.1355
Tl -10.8497 -1.1701 4.1875
In -9.6657 0.2293 -0.1774
Pb -5.7556 -0.4661 -1.3193
S -8.3158 1.0813 -1.9399
S -4.4865 1.9198 -0.1155
Tl -2.2083 0.2074 0.8169
Pb -7.3024 -0.4965 6.3237
S -8.5715 -2.8825 5.1200
S -4.7422 -2.0439 6.9444
S -8.9788 -2.0333 0.8689
In -3.3923 -1.1919 5.1819
```

3.
This record from Alexandria describes MgVAuC after structural relaxation. The functional is PBE.

Final energy in eV per atom: -5.9460
Energy relative to the elements in eV per formula unit: -0.57
Space-group type: No. 107
Polymorph energy (0 for the lowest one) in meV per atom: 0

```
8
Lattice="-0.6628 -2.0877 1.8848 -1.8565 -1.1300 -1.9044 9.6654 -7.5374 -4.9498" Properties=species:S:1:pos:R:3 pbc="T T T"
Mg 4.0703 -5.7653 -2.7394
C 2.1762 -1.6970 -1.1145
V 7.0246 -5.4780 -3.5974
Au 3.9160 -3.0538 -2.0054
Mg 0.4973 -0.3878 -0.2547
Au 7.4891 -8.4313 -4.4902
V 0.9323 -3.3181 -1.1323
C 5.7493 -7.0746 -3.5992
```

4.
This record from Alexandria describes K2PmZn3F12 after structural relaxation. The functional is PBE.

Final energy in eV per atom: -4.5286
Space-group type: No. 166
E_form (uncorrected) in eV/atom: -2.683

```
18
Lattice="-3.7206 -4.5460 3.9331 -1.8933 -5.9625 -3.2928 3.5159 -5.7897 2.0240" Properties=species:S:1:pos:R:3 pbc="T T T"
F 1.6260 -8.0321 1.9857
F -1.1790 -4.9383 -1.2522
F 0.7932 -9.0424 -0.5131
Zn 1.7580 -2.8948 1.0120
F -0.0372 -12.0435 0.4293
F -1.7506 -8.1400 -1.3333
F -0.9190 -11.3599 3.9165
Zn -0.9467 -2.9812 -1.6464
F 1.4315 -4.8549 1.3137
F -3.7241 -8.2661 0.6786
F -2.8912 -7.2558 3.1774
Pm 0.0000 0.0000 0.0000
K -0.8033 -6.2407 1.0202
F -2.0608 -4.2547 2.2350
F -3.5295 -11.4433 1.3506
K -1.2947 -10.0575 1.6441
Zn -1.8603 -2.2730 1.9665
F -0.3474 -8.1582 3.9975
```

5.
This record from Alexandria describes BeNiAs2 after structural relaxation. The functional is PBE.

Final energy in eV per atom: -4.6150
Energy relative to the elements in eV per formula unit: 0.35
Space-group type: No. 12

```
4
Lattice="3.5978 -0.1002 0.0511 2.1944 2.8528 0.0511 1.4721 0.6996 5.5452" Properties=species:S:1:pos:R:3 pbc="T T T"
Be 5.4482 2.5892 4.2355
Ni 1.8161 0.8631 1.4118
As 3.6479 1.7336 2.8327
As 7.2484 3.4447 5.6384
```

6.
This record from Alexandria describes Be2ZnRh after structural relaxation. The functional is PBE.

Final energy in eV per atom: -4.3684
Energy relative to the elements in eV per formula unit: -1.40
Space-group type: No. 8

```
4
Lattice="-3.5562 1.7669 2.4249 -4.6335 -0.0703 0.4172 -1.2475 -2.2493 2.7276" Properties=species:S:1:pos:R:3 pbc="T T T"
Zn -2.3990 -0.1178 1.3951
Be -7.0479 -0.4364 4.1812
Rh -4.6255 -0.3258 2.7801
Be -1.3312 -2.1983 2.7258
```

7.
This record from Alexandria describes TaReAu2 after structural relaxation. The functional is PBE.

Final energy in eV per atom: -7.5039
Energy relative to the elements in eV per formula unit: 0.84
Space-group type: No. 10
Polymorph energy (0 for the lowest one) in meV per atom: 102

```
4
Lattice="3.0211 0.0000 0.0000 0.0000 4.7048 -0.0017 0.0000 3.2894 4.7756" Properties=species:S:1:pos:R:3 pbc="T T T"
Au 0.0000 0.0000 0.0000
Ta 0.0000 1.6447 2.3878
Au 1.5105 2.3524 -0.0008
Re 1.5105 3.9971 2.3870
```

8.
This record from Alexandria describes Pm2HoUAs4 after structural relaxation. The functional is PBE.

Final energy in eV per atom: -6.8203
Energy relative to the elements in eV per formula unit: -10.60
Space-group type: No. 10

```
8
Lattice="-1.9695 2.6907 -2.4655 2.4960 -3.4802 -5.7919 -6.3320 -2.8629 1.9339" Properties=species:S:1:pos:R:3 pbc="T T T"
As -4.1829 -3.0665 -0.0051
As -1.8697 -0.2061 -2.2189
Ho 0.0000 0.0000 0.0000
Pm -1.9180 -3.1716 -1.9290
Pm -4.1508 -0.0861 -0.2658
U 0.2632 -0.3948 -4.1287
As -3.9359 -3.4464 -4.1046
As 0.3468 -3.2767 -3.8530
```

9.
This record from Alexandria describes LiSb3W after structural relaxation. The functional is PBE.

Final energy in eV per atom: -4.9382
Space-group type: No. 221
E_form (uncorrected) in eV/atom: 0.509
Polymorph energy (0 for the lowest one) in meV per atom: 0

```
5
Lattice="-3.0031 -1.1344 -4.2410 -3.1877 -2.9695 3.0516 -3.0185 4.2646 0.9967" Properties=species:S:1:pos:R:3 pbc="T T T"
Sb -1.5093 2.1323 0.4984
Sb -1.5939 -1.4848 1.5258
W 0.0000 0.0000 0.0000
Sb -1.5016 -0.5672 -2.1205
Li -4.6047 0.0804 -0.0963
```

10.
This record from Alexandria describes ZnReNi after structural relaxation. The functional is PBE.

Final energy in eV per atom: -6.5004
Energy relative to the elements in eV per formula unit: 0.00
Space-group type: No. 2
Polymorph energy (0 for the lowest one) in meV per atom: 2

```
6
Lattice="-2.5900 0.4359 0.1377 -1.5208 -2.3571 3.7469 -0.2191 4.9188 4.9978" Properties=species:S:1:pos:R:3 pbc="T T T"
Re -2.9663 0.5591 5.0610
Zn -2.3046 4.2139 5.6531
Re -1.3636 2.4384 3.8213
Zn -2.0253 -1.2163 3.2293
Ni -1.3058 1.9367 6.5686
Ni -3.0241 1.0609 2.3137
```

11.
This record from Alexandria describes Nb2HF after structural relaxation. The functional is PBE.

Final energy in eV per atom: -6.0915
Space-group type: No. 225
Polymorph energy (0 for the lowest one) in meV per atom: 697

```
4
Lattice="0.5755 -4.0249 -0.6743 -2.0075 -1.8832 -3.0673 2.0564 -1.2559 -3.3435" Properties=species:S:1:pos:R:3 pbc="T T T"
Nb 0.1561 -1.7910 -1.7713
Nb 0.4683 -5.3730 -5.3139
H 0.0000 0.0000 0.0000
F 0.3122 -3.5820 -3.5426
```

12.
This record from Alexandria describes ScCoOs2 after structural relaxation. The functional is PBE.

Final energy in eV per atom: -8.8495
Energy relative to the elements in eV per formula unit: 0.50
Space-group type: No. 47
Polymorph energy (0 for the lowest one) in meV per atom: 170

```
4
Lattice="2.7508 0.0000 0.0000 0.0000 3.6414 0.0000 0.0000 0.0000 5.9595" Properties=species:S:1:pos:R:3 pbc="T T T"
Os 0.0000 0.0000 3.2193
Sc 1.3754 1.8207 1.4899
Os 0.0000 0.0000 5.7199
Co 1.3754 1.8207 4.4696
```

13.
This record from Alexandria describes CsSnI2Cl after structural relaxation. The functional is PBE.

Final energy in eV per atom: -3.0594
Space-group type: No. 123
E_form (uncorrected) in eV/atom: -1.099
Polymorph energy (0 for the lowest one) in meV per atom: 3

```
5
Lattice="6.3282 0.0000 0.0000 0.0000 6.3282 0.0000 0.0000 0.0000 5.5779" Properties=species:S:1:pos:R:3 pbc="T T T"
I 3.1641 0.0000 0.0000
I 0.0000 3.1641 0.0000
Cl 0.0000 0.0000 2.7890
Cs 3.1641 3.1641 2.7890
Sn 0.0000 0.0000 0.0000
```

14.
This record from Alexandria describes CsGdF3 after structural relaxation. The functional is PBE.

Final energy in eV per atom: -7.1893
Space-group type: No. 221
E_form (uncorrected) in eV/atom: -3.080

```
5
Lattice="4.7764 0.0000 0.0000 0.0000 4.7764 0.0000 0.0000 0.0000 4.7764" Properties=species:S:1:pos:R:3 pbc="T T T"
Cs 2.3882 2.3882 2.3882
F 0.0000 2.3882 0.0000
F 0.0000 0.0000 2.3882
Gd 0.0000 0.0000 0.0000
F 2.3882 0.0000 0.0000
```

15.
This record from Alexandria describes LiAg3Bi after structural relaxation. The functional is PBE.

Final energy in eV per atom: -2.4415
Energy relative to the elements in eV per formula unit: 2.14
Space-group type: No. 221
Polymorph energy (0 for the lowest one) in meV per atom: 551

```
5
Lattice="5.4651 0.0000 0.0000 0.0000 5.4651 0.0000 0.0000 0.0000 5.4651" Properties=species:S:1:pos:R:3 pbc="T T T"
Ag 0.0000 2.7326 0.0000
Bi 0.0000 0.0000 0.0000
Ag 0.0000 0.0000 2.7326
Li 2.7326 2.7326 2.7326
Ag 2.7326 0.0000 0.0000
```

16.
This record from Alexandria describes RbAs2RuBr after structural relaxation. The functional is PBE.

Final energy in eV per atom: -2.2873
Space-group type: No. 123
E_form (uncorrected) in eV/atom: 1.956
Polymorph energy (0 for the lowest one) in meV per atom: 2132

```
5
Lattice="-4.0055 2.3233 -3.4045 1.4753 -3.6246 -4.2093 -3.9561 -3.9138 1.9836" Properties=species:S:1:pos:R:3 pbc="T T T"
Rb 0.0000 0.0000 0.0000
Ru -3.2431 -2.6075 -2.8151
As 0.7377 -1.8123 -2.1047
Br -1.9780 -1.9569 0.9918
As -2.0028 1.1617 -1.7023
```

17.
This record from Alexandria describes ZrGeBiN2 after structural relaxation. The functional is PBE.

Final energy in eV per atom: -5.5318
Space-group type: No. 123
E_form (uncorrected) in eV/atom: 1.208

```
5
Lattice="-0.6051 -2.1614 -3.3608 2.1401 -3.0457 1.5735 -4.6086 -2.1090 2.1861" Properties=species:S:1:pos:R:3 pbc="T T T"
Ge 0.0000 0.0000 0.0000
Zr -1.5368 -3.6581 0.1994
N 1.0701 -1.5229 0.7867
Bi -2.3043 -1.0545 1.0930
N -0.3025 -1.0807 -1.6804
```

18.
This record from Alexandria describes TcNi2Pt after structural relaxation. The functional is PBE.

Final energy in eV per atom: -6.9405
Energy relative to the elements in eV per formula unit: 0.21
Space-group type: No. 123
Polymorph energy (0 for the lowest one) in meV per atom: 132

```
4
Lattice="-1.3129 1.1459 -3.1335 -2.3650 -2.9944 -0.1042 -2.6502 2.0287 1.8523" Properties=species:S:1:pos:R:3 pbc="T T T"
Pt -1.8389 -0.9242 -1.6188
Tc -1.9815 1.5873 -0.6406
Ni 0.0000 0.0000 0.0000
Ni -2.5076 -0.4828 0.8741
```

19.
This record from Alexandria describes LiY2AlCo after structural relaxation. The functional is PBE.

Final energy in eV per atom: -5.2424
Energy relative to the elements in eV per formula unit: -0.52
Space-group type: No. 123

```
5
Lattice="5.1379 0.0000 0.0000 0.0000 5.1379 0.0000 0.0000 0.0000 4.6069" Properties=species:S:1:pos:R:3 pbc="T T T"
Li 2.5689 2.5689 2.3035
Y 0.0000 2.5689 0.0000
Co 0.0000 0.0000 0.0000
Al 0.0000 0.0000 2.3035
Y 2.5689 0.0000 0.0000
```

20.
This record from Alexandria describes DyHI after structural relaxation. The functional is PBE.

Final energy in eV per atom: -4.1843
Space-group type: No. 12

```
6
Lattice="3.9425 0.0934 0.1504 1.8868 3.4630 0.1504 0.0803 0.0490 11.2033" Properties=species:S:1:pos:R:3 pbc="T T T"
I 3.0810 1.8797 2.3437
H 4.8658 2.9686 6.7281
H 1.0438 0.6368 4.7759
Dy 4.9462 3.0176 4.5265
Dy 0.9633 0.5877 6.9775
I 2.8286 1.7257 9.1603
```